Here is an optimized crystal structure of Cr3RuCl from Alexandria. Energies are from PBE.

Results
As for the space-group type: Pm-3m (221). For the density of states at the Fermi level, the calculation gives 8.2 states/eV/cell. The energy above the most stable polymorph in this dataset comes out at 0 meV per atom. As for the uncorrected formation energy: 1.00 eV/atom.

Cell lengths 4.0890, 4.0890, 4.0890 Å; angles 90.00, 90.00, 90.00 degrees
Closest atoms and distances in Å follow each position.
Sites, in units of the cell vectors:
Cr1 0.0000 0.0000 0.5000  2 Cl 2.04
Cr2 0.0000 0.5000 0.0000  2 Cl 2.04
Cr3 0.5000 0.0000 0.0000  2 Cl 2.04
Ru1 0.5000 0.5000 0.5000  12 Cr 2.89
Cl1 0.0000 0.0000 0.0000  6 Cr 2.04

=====

Here is an optimized crystal structure of CrRuCl2 from Alexandria. Energies are from PBE.

Results
As for the space-group type: Pmmm (47). For the density of states at the Fermi level, the calculation gives 3.3 states/eV/cell. The energy above the most stable polymorph in this dataset comes out at 589 meV per atom. As for the uncorrected formation energy: 0.37 eV/atom.

Cell lengths 3.0320, 4.0036, 5.6754 Å; angles 90.00, 90.00, 90.00 degrees
Closest atoms and distances in Å follow each position.
Sites, in units of the cell vectors:
Cr1 0.0000 0.0000 0.0000  4 Cl 2.51
Ru1 0.5000 0.0000 0.5000  4 Cl 2.51
Cl1 0.0000 0.5000 0.5000  4 Ru 2.51
Cl2 0.5000 0.5000 0.0000  4 Cr 2.51

=====

Here is an optimized crystal structure of Cr2RuCl2 from Alexandria. Energies are from PBE.

Results
As for the space-group type: I4/mmm (139). For the density of states at the Fermi level, the calculation gives 7.6 states/eV/cell. The energy above the most stable polymorph in this dataset comes out at 217 meV per atom. As for the uncorrected formation energy: 0.86 eV/atom.

Cell lengths 5.3648, 5.3648, 5.3648 Å; angles 136.46, 136.46, 63.27 degrees
Closest atoms and distances in Å follow each position.
Sites, in units of the cell vectors:
Cr1 0.2500 0.7500 0.5000  4 Cl 2.23
Cr2 0.7500 0.2500 0.5000  4 Cl 2.23
Ru1 0.0000 0.0000 0.0000  8 Cr 3.03, 10 Cl 3.09-3.28
Cl1 0.3592 0.3592 0.0000  4 Cr 2.23
Cl2 0.6408 0.6408 0.0000  4 Cr 2.23